1.
KDySb2: relaxed, GGA-PBE.

Cell lengths 4.0082, 4.0082, 9.8957 Å; angles 78.32, 78.32, 60.00 degrees
With the nearest neighbours (Å) after each atom.
Fractional coordinates of all 4 atoms:
1 Sb 0.2596 0.2596 0.2211  3 Dy 3.14
2 Sb 0.7404 0.7404 0.7789  3 Dy 3.14
3 K 0.5000 0.5000 0.5000  6 Sb 3.54
4 Dy 0.0000 0.0000 0.0000  6 Sb 3.14

Calculated values
As for the space-group type: No. 166. The raw formation energy is -0.50 eV per atom. The energy relative to the lowest polymorph listed for this composition comes out at 0.137 eV per atom.

***

2.
KDySb2: relaxed, GGA-PBE.

Cell lengths 4.1080, 4.1080, 7.6319 Å; angles 90.00, 90.00, 90.00 degrees
With the nearest neighbours (Å) after each atom.
Fractional coordinates of all 4 atoms:
1 Sb 0.0000 0.0000 0.8056  1 Sb 2.97, 4 Dy 3.26
2 Sb 0.0000 0.0000 0.1944  1 Sb 2.97, 4 Dy 3.26
3 Dy 0.5000 0.5000 0.0000  8 Sb 3.26
4 K 0.5000 0.5000 0.5000  8 Sb 3.73, 2 Dy 3.82, 4 K 4.11

Calculated values
As for the space-group type: No. 123. The raw formation energy is -0.63 eV per atom. The energy relative to the lowest polymorph listed for this composition comes out at 0.000 eV per atom.

***

3.
K3Dy3SbSe8: relaxed, GGA-PBE.

Cell lengths 8.3187, 8.3197, 9.1821 Å; angles 116.95, 89.97, 120.02 degrees
With the nearest neighbours (Å) after each atom.
Fractional coordinates of all 15 atoms:
1 Sb 0.0000 0.0000 0.5000  6 Se 2.82
2 K 0.0000 0.0000 0.0000  6 Se 3.34
3 K 0.5000 0.5000 0.0000  6 Se 3.34
4 K 0.0000 0.5000 0.0000  6 Se 3.34
5 Se 0.2653 0.5306 0.2961  3 Dy 2.88
6 Se 0.2299 0.4596 0.6999  1 Sb 2.82, 2 Dy 2.89
7 Se 0.7701 0.5404 0.3001  1 Sb 2.82, 2 Dy 2.89
8 Se 0.7701 0.0297 0.3002  1 Sb 2.82, 2 Dy 2.89
9 Se 0.2299 0.9703 0.6998  1 Sb 2.82, 2 Dy 2.89
10 Se 0.2596 0.0298 0.3002  1 Sb 2.82, 2 Dy 2.89
11 Se 0.7404 0.9702 0.6998  1 Sb 2.82, 2 Dy 2.89
12 Se 0.7347 0.4694 0.7039  3 Dy 2.88
13 Dy 0.0000 0.5000 0.5000  6 Se 2.88-2.89
14 Dy 0.5000 0.0000 0.5000  6 Se 2.88-2.89
15 Dy 0.5000 0.5000 0.5000  6 Se 2.88-2.89

Calculated values
As for the space-group type: No. 166. The raw formation energy is -1.44 eV per atom.

***

4.
K2Dy2SbSe6: relaxed, GGA-PBE.

Cell lengths 7.1602, 7.1602, 8.2604 Å; angles 98.28, 98.28, 119.99 degrees
With the nearest neighbours (Å) after each atom.
Fractional coordinates of all 11 atoms:
1 Se 0.2591 0.2591 0.3013  1 Sb 2.81, 2 Dy 2.89
2 Se 0.7409 0.7409 0.6987  1 Sb 2.81, 2 Dy 2.89
3 Se 0.9329 0.6063 0.3002  1 Sb 2.82, 2 Dy 2.88
4 Se 0.0671 0.3937 0.6998  1 Sb 2.82, 2 Dy 2.88
5 Se 0.6063 0.9329 0.3002  1 Sb 2.82, 2 Dy 2.88
6 Se 0.3937 0.0671 0.6998  1 Sb 2.82, 2 Dy 2.88
7 Dy 0.6675 0.3325 0.5000  6 Se 2.88-2.89
8 Dy 0.3325 0.6675 0.5000  6 Se 2.88-2.89
9 Sb 0.0000 0.0000 0.5000  6 Se 2.81-2.82
10 K 0.1671 0.8329 0.0000  6 Se 3.35-3.40
11 K 0.8329 0.1671 0.0000  6 Se 3.35-3.40

Calculated values
As for the space-group type: No. 12. The raw formation energy is -1.30 eV per atom.

***

5.
K3DySb2Se6: relaxed, GGA-PBE.

Cell lengths 7.3475, 7.3475, 8.0632 Å; angles 98.73, 98.73, 120.00 degrees
With the nearest neighbours (Å) after each atom.
Fractional coordinates of all 12 atoms:
1 Se 0.0683 0.3996 0.2052  1 Dy 2.90, 2 Sb 2.92
2 Se 0.6004 0.9317 0.7948  1 Dy 2.90, 2 Sb 2.92
3 Se 0.3996 0.0683 0.2052  1 Dy 2.90, 2 Sb 2.92
4 Se 0.2627 0.2627 0.7941  1 Dy 2.90, 2 Sb 2.92
5 Se 0.9317 0.6004 0.7948  1 Dy 2.90, 2 Sb 2.92
6 Se 0.7373 0.7373 0.2059  1 Dy 2.90, 2 Sb 2.92
7 K 0.8312 0.1688 0.5000  6 Se 3.33-3.34
8 K 0.1688 0.8312 0.5000  6 Se 3.33-3.34
9 K 0.5000 0.5000 0.5000  6 Se 3.33-3.34
10 Sb 0.6664 0.3336 0.0000  6 Se 2.92
11 Sb 0.3336 0.6664 0.0000  6 Se 2.92
12 Dy 0.0000 0.0000 0.0000  6 Se 2.90

Calculated values
As for the space-group type: No. 12. The raw formation energy is -1.05 eV per atom.

***

6.
K3Dy3SbTe8: relaxed, GGA-PBE.

Cell lengths 8.8452, 8.8611, 9.8663 Å; angles 116.78, 90.00, 119.94 degrees
With the nearest neighbours (Å) after each atom.
Fractional coordinates of all 15 atoms:
1 Dy 0.5000 0.0000 0.5000  6 Te 3.09-3.11
2 Dy 0.0000 0.5000 0.5000  6 Te 3.09-3.10
3 Dy 0.5000 0.5000 0.5000  6 Te 3.09-3.10
4 Te 0.2338 0.9709 0.7043  1 Sb 3.07, 2 Dy 3.09
5 Te 0.2338 0.4676 0.7045  1 Sb 3.07, 2 Dy 3.09
6 Te 0.2637 0.5273 0.2911  3 Dy 3.10-3.11
7 Te 0.7662 0.5324 0.2955  1 Sb 3.07, 2 Dy 3.09
8 Te 0.2629 0.0291 0.2957  1 Sb 3.07, 2 Dy 3.09
9 Te 0.7371 0.9709 0.7043  1 Sb 3.07, 2 Dy 3.09
10 Te 0.7363 0.4727 0.7089  3 Dy 3.10-3.11
11 Te 0.7662 0.0291 0.2957  1 Sb 3.07, 2 Dy 3.09
12 K 0.5000 0.5000 0.0000  6 Te 3.54-3.56
13 K 0.0000 0.5000 0.0000  6 Te 3.54-3.56
14 K 0.0000 0.0000 0.0000  6 Te 3.54-3.57
15 Sb 0.0000 0.0000 0.5000  6 Te 3.07

Calculated values
As for the space-group type: No. 12. The raw formation energy is -1.10 eV per atom.

***

7.
K3Dy2SbTe6: relaxed, GGA-PBE.

Cell lengths 7.8232, 7.8232, 8.6235 Å; angles 98.70, 98.70, 120.00 degrees
With the nearest neighbours (Å) after each atom.
Fractional coordinates of all 12 atoms:
1 Dy 0.6667 0.3333 0.0000  6 Te 3.11
2 Dy 0.3333 0.6667 0.0000  6 Te 3.11
3 K 0.1658 0.8342 0.5000  6 Te 3.54-3.56
4 K 0.5000 0.5000 0.5000  6 Te 3.55-3.56
5 K 0.8342 0.1658 0.5000  6 Te 3.54-3.56
6 Te 0.5986 0.9311 0.7934  1 Sb 3.11, 2 Dy 3.11
7 Te 0.0689 0.4014 0.2066  1 Sb 3.11, 2 Dy 3.11
8 Te 0.7362 0.7362 0.2062  1 Sb 3.10, 2 Dy 3.11
9 Te 0.9311 0.5986 0.7934  1 Sb 3.11, 2 Dy 3.11
10 Te 0.4014 0.0689 0.2066  1 Sb 3.11, 2 Dy 3.11
11 Te 0.2638 0.2638 0.7938  1 Sb 3.10, 2 Dy 3.11
12 Sb 0.0000 0.0000 0.0000  6 Te 3.10-3.11

Calculated values
As for the space-group type: No. 12. The raw formation energy is -1.11 eV per atom.

***

8.
KDy2Sc: relaxed, GGA-PBE.

Cell lengths 3.5062, 3.5062, 13.0507 Å; angles 82.28, 82.28, 60.00 degrees
With the nearest neighbours (Å) after each atom.
Fractional coordinates of all 4 atoms:
1 Dy 0.0986 0.0986 0.7043  3 Sc 3.32, 6 Dy 3.51
2 Dy 0.9014 0.9014 0.2957  3 Sc 3.32, 6 Dy 3.51
3 Sc 0.5000 0.5000 0.5000  6 Dy 3.32, 6 Sc 3.51
4 K 0.0000 0.0000 0.0000  6 K 3.51, 2 Dy 3.81

Calculated values
As for the space-group type: No. 166. For the formation energy, the calculation gives 24.6 kJ per mole of atoms.

***

9.
K2DyScSe4: relaxed, GGA-PBE.

Cell lengths 4.1169, 7.1258, 8.0141 Å; angles 107.25, 90.00, 90.00 degrees
With the nearest neighbours (Å) after each atom.
Fractional coordinates of all 8 atoms:
1 Se 0.5000 0.2222 0.1974  2 Sc 2.79, 1 Dy 2.88
2 Se 0.0000 0.7450 0.2026  1 Sc 2.77, 2 Dy 2.87
3 Se 0.0000 0.2550 0.7974  1 Sc 2.77, 2 Dy 2.87
4 Se 0.5000 0.7778 0.8026  2 Sc 2.79, 1 Dy 2.88
5 Sc 0.0000 0.0000 0.0000  6 Se 2.77-2.79
6 K 0.0000 0.5000 0.5000  6 Se 3.34-3.35
7 K 0.5000 0.0000 0.5000  6 Se 3.26-3.27
8 Dy 0.5000 0.5000 0.0000  6 Se 2.87-2.88

Calculated values
As for the space-group type: No. 10. The raw formation energy is -1.69 eV per atom.

***

10.
KDy2Sc3Se6: relaxed, GGA-PBE.

Cell lengths 3.9739, 8.2198, 9.0350 Å; angles 103.70, 102.70, 90.00 degrees
With the nearest neighbours (Å) after each atom.
Fractional coordinates of all 12 atoms:
1 Se 0.3376 0.4108 0.6753  3 Sc 2.72-2.78, 3 Dy 2.87-2.89
2 Se 0.6770 0.0783 0.3540  3 Sc 2.74-2.90, 2 Dy 2.96, 1 K 3.03
3 Se 0.3230 0.9217 0.6460  3 Sc 2.74-2.90, 2 Dy 2.96, 1 K 3.03
4 Se 0.6624 0.5892 0.3247  3 Sc 2.72-2.78, 3 Dy 2.87-2.89
5 Se 0.0011 0.7248 0.0021  3 Sc 2.71-2.77, 1 Dy 2.91, 2 K 3.01
6 Se 0.9989 0.2752 0.9979  3 Sc 2.71-2.77, 1 Dy 2.91, 2 K 3.01
7 Sc 0.1632 0.8164 0.3265  6 Se 2.72-2.90
8 Sc 0.5000 0.5000 0.0000  6 Se 2.71-2.78
9 Sc 0.8368 0.1836 0.6735  6 Se 2.72-2.90
10 Dy 0.1690 0.3413 0.3381  6 Se 2.87-2.96
11 Dy 0.8310 0.6587 0.6619  6 Se 2.87-2.96
12 K 0.5000 0.0000 0.0000  6 Se 3.01-3.03

Calculated values
As for the space-group type: No. 12. The raw formation energy is -1.62 eV per atom.

***

11.
K4Dy3ScSe8: relaxed, GGA-PBE.

Cell lengths 8.3303, 9.0537, 8.3299 Å; angles 117.41, 120.00, 90.00 degrees
With the nearest neighbours (Å) after each atom.
Fractional coordinates of all 16 atoms:
1 Dy 0.5000 0.5000 0.0000  6 Se 2.88-2.89
2 Dy 0.5000 0.5000 0.5000  6 Se 2.88-2.89
3 Dy 0.0000 0.5000 0.5000  6 Se 2.88-2.89
4 Se 0.2286 0.7011 0.4571  1 Sc 2.79, 2 Dy 2.89
5 Se 0.7441 0.7011 0.9726  1 Sc 2.79, 2 Dy 2.89
6 Se 0.7714 0.2989 0.5429  1 Sc 2.79, 2 Dy 2.89
7 Se 0.7356 0.7066 0.4711  3 Dy 2.88
8 Se 0.2644 0.2934 0.5289  3 Dy 2.88
9 Se 0.7715 0.2989 0.0274  1 Sc 2.79, 2 Dy 2.89
10 Se 0.2559 0.2989 0.0274  1 Sc 2.79, 2 Dy 2.89
11 Se 0.2285 0.7011 0.9726  1 Sc 2.79, 2 Dy 2.89
12 K 0.0000 0.0000 0.0000  6 Se 3.29-3.30
13 K 0.5000 0.0000 0.0000  6 Se 3.38
14 K 0.5000 0.0000 0.5000  6 Se 3.29-3.30
15 K 0.0000 0.0000 0.5000  6 Se 3.29-3.30
16 Sc 0.0000 0.5000 0.0000  6 Se 2.79

Calculated values
As for the space-group type: No. 166. The raw formation energy is -1.72 eV per atom.

***

12.
KDySc4Se8: relaxed, GGA-PBE.

Cell lengths 8.1537, 8.1537, 8.3751 Å; angles 60.87, 60.87, 60.00 degrees
With the nearest neighbours (Å) after each atom.
Fractional coordinates of all 14 atoms:
1 Se 0.2436 0.2436 0.7168  2 Sc 2.62, 1 Dy 2.81, 1 K 2.90
2 Se 0.2291 0.2291 0.3126  3 Sc 2.63, 1 K 2.85
3 Se 0.7571 0.7571 0.7286  4 Sc 2.70-2.89
4 Se 0.7959 0.2436 0.7168  2 Sc 2.62, 1 Dy 2.81, 1 K 2.90
5 Se 0.7527 0.2345 0.2601  3 Sc 2.63-2.92
6 Se 0.2345 0.7527 0.2601  3 Sc 2.63-2.92
7 Se 0.2436 0.7959 0.7168  2 Sc 2.62, 1 Dy 2.81, 1 K 2.90
8 Se 0.7527 0.7527 0.2601  3 Sc 2.63-2.92
9 Sc 0.6270 0.6270 0.1190  4 Se 2.63-2.70
10 Sc 0.0042 0.0042 0.5074  6 Se 2.62-2.92
11 Sc 0.4841 0.0042 0.5074  6 Se 2.62-2.92
12 Sc 0.0042 0.4841 0.5074  6 Se 2.62-2.92
13 Dy 0.0049 0.0049 0.9854  6 Se 2.81-2.96
14 K 0.3662 0.3662 0.9015  4 Se 2.85-2.90

Calculated values
As for the space-group type: No. 160. The raw formation energy is -1.59 eV per atom.

***

no.,total magnetic moment (Bohr magnetons per cell)
1,0.0
2,0.0
3,0.0
4,0.0
5,0.0
6,0.0
7,0.0
8,0.0
9,0.0
10,0.0
11,0.0
12,0.0